KPbWO4: relaxed, PBE with a Hubbard U.

Space group: P2_1/m (11)
DFT total energy (eV/atom): -6.165
Crystal system: monoclinic

a b c (Å): 6.2534 6.1539 7.9283
angles (deg): 90.00 109.75 90.00
Last column: nearest neighbours and their distance in Å.
Fractional coordinates of all 14 atoms:
K: 0.2438 0.2500 0.0628  6 O 2.78-3.00
K: 0.7562 0.7500 0.9372  6 O 2.78-3.00
Pb: 0.1162 0.7500 0.5156  3 O 2.67-2.76
Pb: 0.8838 0.2500 0.4844  3 O 2.67-2.76
W: 0.4913 0.2500 0.7074  4 O 1.82-1.84
W: 0.5087 0.7500 0.2926  4 O 1.82-1.84
O: 0.1953 0.7500 0.2049  1 W 1.84
O: 0.3795 0.0148 0.7887  1 W 1.82
O: 0.3795 0.4852 0.7887  1 W 1.82
O: 0.3833 0.2500 0.4637  1 W 1.82
O: 0.6167 0.7500 0.5363  1 W 1.82
O: 0.6205 0.5148 0.2113  1 W 1.82
O: 0.6205 0.9852 0.2113  1 W 1.82
O: 0.8047 0.2500 0.7951  1 W 1.84